# 1
# Tl2SbAs

A relaxed Tl2SbAs crystal (PBE-GGA, the Alexandria database).

Summary:
As for the space-group type: I-4m2 (119). As for the energy relative to the elements, uncorrected: 198 meV/atom. The calculation puts the excess energy over the best structure of this formula in the dataset at 178.5 meV/atom.

Cell: 5.5326 5.5326 5.5326 Å, 125.05 125.05 81.46°
Sites, in units of the cell vectors:
Sb 0.7500 0.2500 0.5000
Tl 0.0000 0.0000 0.0000
Tl 0.2500 0.7500 0.5000
As 0.5000 0.5000 0.0000

---

# 2
# TlSbAs

A relaxed TlSbAs crystal (PBE-GGA, the Alexandria database).

Summary:
As for the space-group type: Fmm2 (42). As for the energy relative to the elements, uncorrected: 201 meV/atom. The calculation puts the excess energy over the best structure of this formula in the dataset at 175.5 meV/atom.

Cell: 8.0218 7.7665 3.4090 Å, 81.76 73.37 24.87°
Sites, in units of the cell vectors:
Sb 0.3559 0.3559 0.6441
Tl 0.6572 0.6572 0.3428
As 0.9869 0.9869 0.0131

---

# 3
# TlSbAs2

A relaxed TlSbAs2 crystal (PBE-GGA, the Alexandria database).

Summary:
As for the space-group type: Cm (8). As for the energy relative to the elements, uncorrected: 147 meV/atom. The calculation puts the excess energy over the best structure of this formula in the dataset at 41.9 meV/atom.

Cell: 5.7324 5.7324 5.9459 Å, 70.10 70.10 36.76°
Sites, in units of the cell vectors:
Sb 0.4645 0.4645 0.6114
Tl 0.2572 0.2572 0.2351
As 0.0430 0.0430 0.8980
As 0.7353 0.7353 0.7555

---

# 4
# TlSbAs2

A relaxed TlSbAs2 crystal (PBE-GGA, the Alexandria database).

Summary:
As for the space-group type: R3m (160). As for the energy relative to the elements, uncorrected: 105 meV/atom. The calculation puts the excess energy over the best structure of this formula in the dataset at 0.0 meV/atom.

Cell: 9.3082 9.3082 9.3082 Å, 22.95 22.95 22.95°
Sites, in units of the cell vectors:
Sb 0.5099 0.5099 0.5099
Tl 0.7493 0.7493 0.7493
As 0.9793 0.9793 0.9793
As 0.2614 0.2614 0.2614

---

# 5
# Tl2SbAs

A relaxed Tl2SbAs crystal (PBE-GGA, the Alexandria database).

Summary:
As for the space-group type: P4/mmm (123). As for the energy relative to the elements, uncorrected: 162 meV/atom. The calculation puts the excess energy over the best structure of this formula in the dataset at 142.2 meV/atom.

Cell: 3.2571 3.2572 10.4394 Å, 90.00 90.00 89.99°
Sites, in units of the cell vectors:
Sb 0.5000 0.5000 0.7500
Tl 0.0000 0.0000 0.0210
Tl 0.0000 0.0000 0.4790
As 0.5000 0.5000 0.2500

---

# 6
# TlSbAs2

A relaxed TlSbAs2 crystal (PBE-GGA, the Alexandria database).

Summary:
As for the space-group type: P2/m (10). As for the energy relative to the elements, uncorrected: 142 meV/atom. The calculation puts the excess energy over the best structure of this formula in the dataset at 37.6 meV/atom.

Cell: 4.1642 2.9437 8.6645 Å, 78.51 90.00 90.00°
Sites, in units of the cell vectors:
Sb 0.5000 0.2500 0.2500
Tl 0.5000 0.7500 0.7500
As 0.0000 0.3778 0.0192
As 0.0000 0.1222 0.4808